This record from Alexandria via LeMat-Bulk describes crystalline Ca7Pm at its relaxed geometry. The functional is PBE.

Properties
* V: 40.58 Å³/atom
* SG: No. 12
* M_tot: 0.0 μB per formula unit
* calculated formation energy: 0.60 eV/f.u.
* total DFT energy (no corrections): -2.270 eV/atom

Cell: 3.700 9.612 9.612 Å, 78.58 78.93 78.93°
Fractional coordinates of all 8 atoms:
1 Ca 0.373 0.868 0.384
2 Ca 0.740 0.758 0.758
3 Ca 0.627 0.616 0.132
4 Ca 0.260 0.242 0.242
5 Ca 0.627 0.132 0.616
6 Ca 0.000 0.500 0.500
7 Ca 0.373 0.384 0.868
8 Pm 0.000 0.000 0.000



This record from Alexandria via LeMat-Bulk describes crystalline NaY3C at its relaxed geometry. The functional is PBE.

Properties
* V: 25.91 Å³/atom
* SG: No. 221
* M_tot: 0.0 μB per formula unit
* energy above the lowest structure with this stoichiometry: 0.0 meV per atom
* calculated formation energy: 0.13 eV/f.u.
* total DFT energy (no corrections): -5.960 eV/atom

Cell: 5.060 5.060 5.060 Å, 90.00 90.00 90.00°
Fractional coordinates of all 5 atoms:
1 Y 0.500 0.000 0.000
2 Y 0.000 0.500 0.000
3 Y 0.000 0.000 0.500
4 C 0.000 0.000 0.000
5 Na 0.500 0.500 0.500



This record from Alexandria via LeMat-Bulk describes crystalline Er2CuPPt6 at its relaxed geometry. The functional is PBE.

Properties
* V: 18.95 Å³/atom
* SG: No. 59
* M_tot: 0.0 μB per formula unit
* calculated formation energy: -8.04 eV/f.u.
* total DFT energy (no corrections): -6.291 eV/atom

Cell: 5.518 7.997 8.590 Å, 90.00 90.00 90.00°
Fractional coordinates of all 20 atoms:
1 Cu 0.500 0.286 0.000
2 Cu 0.000 0.714 0.500
3 Er 0.000 0.272 0.224
4 Er 0.500 0.728 0.276
5 Er 0.000 0.272 0.776
6 Er 0.500 0.728 0.724
7 P 0.500 0.233 0.500
8 P 0.000 0.767 0.000
9 Pt 0.000 0.883 0.752
10 Pt 0.500 0.117 0.748
11 Pt 0.252 0.016 0.000
12 Pt 0.242 0.455 0.500
13 Pt 0.258 0.545 0.000
14 Pt 0.000 0.883 0.248
15 Pt 0.748 0.016 0.000
16 Pt 0.758 0.455 0.500
17 Pt 0.248 0.984 0.500
18 Pt 0.752 0.984 0.500
19 Pt 0.742 0.545 0.000
20 Pt 0.500 0.117 0.252



This record from Alexandria via LeMat-Bulk describes crystalline MnTcOsS2 at its relaxed geometry. The functional is PBE.

Properties
* V: 19.37 Å³/atom
* SG: No. 123
* M_tot: 0.6 μB per formula unit
* E_form (uncorrected): 1.57 eV/atom
* total DFT energy (no corrections): -6.237 eV/atom

Cell: 4.488 4.807 4.488 Å, 90.00 90.00 90.00°
Fractional coordinates of all 5 atoms:
1 Tc 0.000 0.000 0.000
2 Os 0.000 0.500 0.000
3 S 0.500 0.000 0.000
4 S 0.000 0.000 0.500
5 Mn 0.500 0.500 0.500



This record from Alexandria via LeMat-Bulk describes crystalline TaCuSbI2 at its relaxed geometry. The functional is PBE.

Properties
* V: 32.92 Å³/atom
* SG: No. 123
* M_tot: 0.0 μB per formula unit
* energy above the lowest structure with this stoichiometry: 0.0 meV per atom
* E_form (uncorrected): 0.75 eV/atom
* total DFT energy (no corrections): -3.883 eV/atom

Cell: 5.456 5.456 5.530 Å, 90.00 90.00 90.00°
Fractional coordinates of all 5 atoms:
1 Sb 0.000 0.000 0.500
2 Cu 0.500 0.500 0.500
3 I 0.500 0.000 0.000
4 I 0.000 0.500 0.000
5 Ta 0.000 0.000 0.000



This record from Alexandria via LeMat-Bulk describes crystalline Np3Al12Ag5 at its relaxed geometry. The functional is PBE.

Properties
* V: 24.57 Å³/atom
* SG: No. 230
* M_tot: 14.6 μB per formula unit
* calculated formation energy: 12.09 eV/f.u.
* total DFT energy (no corrections): -4.295 eV/atom

Cell: 13.668 13.668 13.668 Å, 109.47 109.47 109.47°
Fractional coordinates of all 80 atoms:
1 Np 0.375 0.625 0.250
2 Np 0.375 0.750 0.625
3 Np 0.875 0.750 0.125
4 Np 0.625 0.250 0.375
5 Np 0.250 0.125 0.375
6 Np 0.625 0.375 0.750
7 Np 0.750 0.375 0.125
8 Np 0.875 0.125 0.250
9 Np 0.125 0.250 0.875
10 Np 0.250 0.625 0.875
11 Np 0.750 0.875 0.625
12 Np 0.125 0.875 0.750
13 Ag 0.375 0.250 0.125
14 Ag 0.000 0.500 0.500
15 Ag 0.875 0.250 0.625
16 Ag 0.500 0.500 0.000
17 Ag 0.500 0.000 0.500
18 Ag 0.625 0.750 0.875
19 Ag 0.000 0.000 0.000
20 Ag 0.125 0.375 0.250
21 Ag 0.125 0.750 0.375
22 Ag 0.500 0.000 0.000
23 Ag 0.250 0.375 0.625
24 Ag 0.375 0.125 0.750
25 Ag 0.000 0.000 0.500
26 Ag 0.750 0.625 0.375
27 Ag 0.750 0.125 0.875
28 Ag 0.000 0.500 0.000
29 Ag 0.625 0.875 0.250
30 Ag 0.250 0.875 0.125
31 Ag 0.500 0.500 0.500
32 Ag 0.875 0.625 0.750
33 Al 0.591 0.715 0.667
34 Al 0.409 0.124 0.576
35 Al 0.548 0.333 0.924
36 Al 0.048 0.624 0.715
37 Al 0.924 0.833 0.548
38 Al 0.076 0.167 0.452
39 Al 0.376 0.424 0.091
40 Al 0.424 0.048 0.333
41 Al 0.215 0.667 0.091
42 Al 0.924 0.091 0.876
43 Al 0.715 0.591 0.167
44 Al 0.591 0.876 0.424
45 Al 0.124 0.715 0.548
46 Al 0.715 0.124 0.048
47 Al 0.091 0.167 0.215
48 Al 0.285 0.409 0.833
49 Al 0.285 0.876 0.952
50 Al 0.167 0.076 0.952
51 Al 0.076 0.909 0.124
52 Al 0.624 0.048 0.215
53 Al 0.624 0.576 0.909
54 Al 0.909 0.076 0.624
55 Al 0.548 0.215 0.124
56 Al 0.091 0.924 0.376
57 Al 0.833 0.909 0.285
58 Al 0.333 0.548 0.424
59 Al 0.909 0.833 0.785
60 Al 0.667 0.452 0.576
61 Al 0.167 0.091 0.715
62 Al 0.876 0.285 0.452
63 Al 0.952 0.576 0.167
64 Al 0.952 0.376 0.285
65 Al 0.409 0.285 0.333
66 Al 0.576 0.952 0.667
67 Al 0.424 0.376 0.591
68 Al 0.333 0.785 0.409
69 Al 0.452 0.667 0.076
70 Al 0.376 0.952 0.785
71 Al 0.667 0.215 0.591
72 Al 0.785 0.452 0.376
73 Al 0.785 0.333 0.909
74 Al 0.876 0.591 0.924
75 Al 0.215 0.548 0.624
76 Al 0.576 0.624 0.409
77 Al 0.124 0.409 0.076
78 Al 0.833 0.924 0.048
79 Al 0.048 0.424 0.833
80 Al 0.452 0.785 0.876



This record from Alexandria via LeMat-Bulk describes crystalline HfThZnTc at its relaxed geometry. The functional is PBE.

Properties
* V: 20.81 Å³/atom
* SG: No. 216
* M_tot: 0.0 μB per formula unit
* calculated formation energy: -0.43 eV/f.u.
* total DFT energy (no corrections): -7.360 eV/atom

Cell: 4.901 4.901 4.901 Å, 60.00 60.00 60.00°
Fractional coordinates of all 4 atoms:
1 Th 0.000 0.000 0.000
2 Hf 0.500 0.500 0.500
3 Tc 0.250 0.250 0.250
4 Zn 0.750 0.750 0.750



This record from Alexandria via LeMat-Bulk describes crystalline Cd12Hg16Bi at its relaxed geometry. The functional is PBE.

Properties
* V: 25.74 Å³/atom
* SG: No. 8
* M_tot: 0.0 μB per formula unit
* calculated formation energy: 0.98 eV/f.u.
* total DFT energy (no corrections): -0.645 eV/atom

Cell: 11.178 11.178 10.751 Å, 114.67 114.67 115.88°
Fractional coordinates of all 29 atoms:
1 Bi 0.672 0.672 0.365
2 Cd 0.931 0.152 0.290
3 Cd 0.849 0.286 0.838
4 Cd 0.265 0.481 0.046
5 Cd 0.286 0.849 0.838
6 Cd 0.870 0.621 0.662
7 Cd 0.792 0.792 0.198
8 Cd 0.152 0.931 0.290
9 Cd 0.260 0.055 0.116
10 Cd 0.481 0.265 0.046
11 Cd 0.621 0.870 0.662
12 Cd 0.476 0.476 0.736
13 Cd 0.055 0.260 0.116
14 Hg 0.588 0.943 0.404
15 Hg 0.662 0.206 0.314
16 Hg 0.702 0.156 0.012
17 Hg 0.156 0.702 0.012
18 Hg 0.856 0.856 0.947
19 Hg 0.764 0.485 0.010
20 Hg 0.015 0.346 0.653
21 Hg 0.285 0.588 0.582
22 Hg 0.165 0.165 0.632
23 Hg 0.588 0.285 0.582
24 Hg 0.071 0.071 0.827
25 Hg 0.457 0.457 0.441
26 Hg 0.485 0.764 0.010
27 Hg 0.206 0.662 0.314
28 Hg 0.346 0.015 0.653
29 Hg 0.943 0.588 0.404